{"formula": "Pm2Cu3Si", "functional": "GGA-PBE", "state": "optimized geometry", "lattice_angstrom": [[5.7015, 0.4679, 0.0000], [0.1157, 5.7195, 0.0000], [-2.9086, -3.0937, 7.3380]], "species": ["Pm", "Pm", "Pm", "Pm", "Cu", "Cu", "Cu", "Cu", "Cu", "Cu", "Si", "Si"], "fractional_positions": [[0.7500, 0.2500, 0.5000], [0.7615, 0.2385, 0.0000], [0.2500, 0.7500, 0.5000], [0.2385, 0.7615, 0.0000], [0.8285, 0.8285, 0.1690], [0.6595, 0.6595, 0.8310], [0.1715, 0.1715, 0.8310], [0.3405, 0.3405, 0.1690], [0.1707, 0.1707, 0.3414], [0.8293, 0.8293, 0.6586], [0.6647, 0.6647, 0.3294], [0.3353, 0.3353, 0.6706]], "formation_energy_uncorrected_ev_per_atom": -0.393, "final_energy_ev_per_cell": -59.1}